[1]
Here is a geometry-optimized LiBeZnSb structure from OQMD. Energies are from GGA-PBE.

a = 4.529 Å, b = 4.529 Å, c = 4.529 Å
α = 60.00°, β = 60.00°, γ = 60.00°
Fractional positions:
1 Zn 0.500 0.500 0.500
2 Sb 0.000 0.000 0.000
3 Li 0.750 0.750 0.750
4 Be 0.250 0.250 0.250

- Crystal system: cubic


[2]
Here is a geometry-optimized LiBeZnSb structure from OQMD. Energies are from GGA-PBE.

a = 4.607 Å, b = 4.607 Å, c = 4.607 Å
α = 60.00°, β = 60.00°, γ = 60.00°
Fractional positions:
1 Be 0.750 0.750 0.750
2 Zn 0.250 0.250 0.250
3 Li 0.500 0.500 0.500
4 Sb 0.000 0.000 0.000

- Crystal system: cubic


[3]
Here is a geometry-optimized LiSmBe structure from OQMD. Energies are from GGA-PBE.

a = 4.499 Å, b = 4.499 Å, c = 4.499 Å
α = 60.00°, β = 60.00°, γ = 60.00°
Site moments in Bohr magnetons follow the coordinates.
Fractional positions:
1 Be 0.250 0.250 0.250  0.08
2 Sm 0.750 0.750 0.750  0.19
3 Li 0.000 0.000 0.000  0.05

- Crystal system: cubic
- M_tot: 0.694 μB/f.u.


[4]
Here is a geometry-optimized LiSmBe structure from OQMD. Energies are from GGA-PBE.

a = 4.637 Å, b = 4.637 Å, c = 4.637 Å
α = 60.00°, β = 60.00°, γ = 60.00°
Fractional positions:
1 Be 0.250 0.250 0.250
2 Li 0.750 0.750 0.750
3 Sm 0.000 0.000 0.000

- Crystal system: cubic
- M_tot: 0.005 μB/f.u.


no.,energy above the most stable polymorph in this dataset (meV per atom)
1,0.0
2,110.0
3,0.0
4,225.3